[1]
Mn5Ge3: optimized geometry, GGA-PBEsol.

Computed properties:
DFT formation energy ... -0.52 eV per formula unit
VASP energy ... -8.018 eV/atom

Cell lengths 7.001, 7.001, 4.867 Å; angles 90.00, 90.00, 120.00 degrees
Sites, in units of the cell vectors:
1 Mn 0.000 0.244 0.250
2 Mn 0.000 0.756 0.750
3 Mn 0.244 0.000 0.250
4 Mn 0.244 0.244 0.750
5 Mn 0.333 0.667 0.000
6 Mn 0.333 0.667 0.500
7 Mn 0.667 0.333 0.000
8 Mn 0.667 0.333 0.500
9 Mn 0.756 0.000 0.750
10 Mn 0.756 0.756 0.250
11 Ge 0.000 0.394 0.750
12 Ge 0.000 0.606 0.250
13 Ge 0.394 0.000 0.750
14 Ge 0.394 0.394 0.250
15 Ge 0.606 0.000 0.250
16 Ge 0.606 0.606 0.750

---

[2]
BaBeW2: optimized geometry, GGA-PBEsol.

Computed properties:
DFT formation energy ... 4.26 eV per formula unit
VASP energy ... -7.375 eV/atom

Cell lengths 3.362, 4.176, 6.516 Å; angles 90.00, 102.95, 90.00 degrees
Sites, in units of the cell vectors:
1 Ba 0.000 0.000 0.000
2 Be 0.500 0.000 0.500
3 W 0.308 0.500 0.636
4 W 0.692 0.500 0.364

---

[3]
CdCo2Pb: optimized geometry, GGA-PBEsol.

Computed properties:
DFT formation energy ... 1.82 eV per formula unit
VASP energy ... -4.713 eV/atom

Cell lengths 5.191, 5.191, 4.527 Å; angles 108.55, 108.55, 33.79 degrees
Sites, in units of the cell vectors:
1 Cd 0.000 0.000 0.000
2 Co 0.239 0.239 0.830
3 Co 0.548 0.548 0.536
4 Pb 0.788 0.788 0.360

---

[4]
FeRuPt2F: optimized geometry, GGA-PBEsol.

Computed properties:
VASP energy ... -5.632 eV/atom
E_form (uncorrected) ... 1.37 eV/atom

Cell lengths 4.652, 4.652, 4.622 Å; angles 90.00, 90.00, 90.00 degrees
Sites, in units of the cell vectors:
1 Fe 0.000 0.000 0.000
2 Ru 0.000 0.000 0.500
3 Pt 0.000 0.500 0.500
4 Pt 0.500 0.000 0.500
5 F 0.500 0.500 0.000

---

[5]
BaGaAu3: optimized geometry, GGA-PBEsol.

Computed properties:
DFT formation energy ... -2.03 eV per formula unit
VASP energy ... -3.858 eV/atom

Cell lengths 4.962, 4.962, 4.962 Å; angles 90.00, 90.00, 90.00 degrees
Sites, in units of the cell vectors:
1 Ba 0.000 0.000 0.000
2 Ga 0.500 0.500 0.500
3 Au 0.000 0.500 0.500
4 Au 0.500 0.000 0.500
5 Au 0.500 0.500 0.000

---

[6]
KBeRuBr2: optimized geometry, GGA-PBEsol.

Computed properties:
VASP energy ... -3.877 eV/atom
E_form (uncorrected) ... -0.07 eV/atom

Cell lengths 5.150, 5.150, 4.224 Å; angles 90.00, 90.00, 90.00 degrees
Sites, in units of the cell vectors:
1 K 0.000 0.000 0.000
2 Be 0.500 0.500 0.000
3 Ru 0.500 0.500 0.500
4 Br 0.000 0.500 0.500
5 Br 0.500 0.000 0.500

---

[7]
GaGeBiC2: optimized geometry, GGA-PBEsol.

Computed properties:
DFT formation energy ... 9.35 eV per formula unit
VASP energy ... -4.501 eV/atom

Cell lengths 4.071, 4.071, 5.071 Å; angles 90.00, 90.00, 90.00 degrees
Sites, in units of the cell vectors:
1 Ga 0.000 0.000 0.000
2 Ge 0.000 0.000 0.500
3 Bi 0.500 0.500 0.500
4 C 0.000 0.500 0.000
5 C 0.500 0.000 0.000

---

[8]
YCd2Hg: optimized geometry, GGA-PBEsol.

Computed properties:
DFT formation energy ... -1.40 eV per formula unit
VASP energy ... -2.796 eV/atom

Cell lengths 4.383, 4.383, 4.720 Å; angles 90.00, 90.00, 90.00 degrees
Sites, in units of the cell vectors:
1 Y 0.000 0.000 0.000
2 Cd 0.000 0.500 0.500
3 Cd 0.500 0.000 0.500
4 Hg 0.500 0.500 0.000

---

[9]
Cr4AgBr: optimized geometry, GGA-PBEsol.

Computed properties:
VASP energy ... -6.787 eV/atom
E_form (uncorrected) ... 0.90 eV/atom

Cell lengths 4.878, 4.878, 4.878 Å; angles 60.00, 60.00, 60.00 degrees
Sites, in units of the cell vectors:
1 Cr 0.121 0.121 0.121
2 Cr 0.121 0.121 0.636
3 Cr 0.121 0.636 0.121
4 Cr 0.636 0.121 0.121
5 Ag 0.750 0.750 0.750
6 Br 0.500 0.500 0.500

---

[10]
CoBr: optimized geometry, GGA-PBEsol.

Computed properties:
VASP energy ... -4.101 eV/atom
E_form (uncorrected) ... 0.70 eV/atom

Cell lengths 3.159, 3.159, 3.159 Å; angles 90.00, 90.00, 90.00 degrees
Sites, in units of the cell vectors:
1 Co 0.000 0.000 0.000
2 Br 0.500 0.500 0.500

---

[11]
CuTc2Cl: optimized geometry, GGA-PBEsol.

Computed properties:
VASP energy ... -6.403 eV/atom
E_form (uncorrected) ... 0.82 eV/atom

Cell lengths 5.032, 5.032, 2.776 Å; angles 103.91, 103.91, 116.95 degrees
Sites, in units of the cell vectors:
1 Cu 0.000 0.000 0.000
2 Tc 0.000 0.500 0.500
3 Tc 0.500 0.000 0.500
4 Cl 0.500 0.500 0.000

---

[12]
Re2HgOs: optimized geometry, GGA-PBEsol.

Computed properties:
DFT formation energy ... 2.38 eV per formula unit
VASP energy ... -9.266 eV/atom

Cell lengths 4.886, 4.886, 4.793 Å; angles 100.43, 100.43, 33.51 degrees
Sites, in units of the cell vectors:
1 Re 0.237 0.237 0.225
2 Re 0.763 0.763 0.775
3 Hg 0.000 0.000 0.500
4 Os 0.500 0.500 0.000